# Tl3TcCl, relaxed, DFT PBE
data_Tl3TcCl
_symmetry_space_group_name_H-M 'P 1'
_symmetry_Int_Tables_number 1
_symmetry_space_group_name_Hall 'P 1'
_cell_length_a 5.708
_cell_length_b 5.708
_cell_length_c 5.708
_cell_angle_alpha 90.00
_cell_angle_beta 90.00
_cell_angle_gamma 90.00
loop_
_atom_site_label
_atom_site_type_symbol
_atom_site_fract_x
_atom_site_fract_y
_atom_site_fract_z
Tl1 Tl 0.000 0.000 0.500
Tl2 Tl 0.000 0.500 0.000
Tl3 Tl 0.500 0.000 0.000
Tc1 Tc 0.500 0.500 0.500
Cl1 Cl 0.000 0.000 0.000
# E_form (uncorrected): 4.38 eV per formula unit
# ρ: 6.7 g/cm3
# energy relative to the lowest polymorph listed for this composition: 0.698 eV/atom
# total magnetization: 3.6 μB/f.u.